Entry from the Alexandria database: a geometry-optimized Pa2TaGe2Ru5 structure (PBE-GGA).

Cell: 9.8420 9.8420 3.5849 Å, 90.00 90.00 90.00°
Space group P4/mbm (No. 127)
Inequivalent atoms, fractional coordinates:
Pa  0.1747  0.3253  0.0000 x4
Ta  0.0000  0.0000  0.0000 x2
Ge  0.1231  0.6231  0.0000 x4
Ru  0.0000  0.5000  0.5000 x2
Ru  0.0733  0.7938  0.5000 x8

Computed properties:
For the formation energy, the calculation gives -0.40 eV/atom. The density of states at the Fermi level is 0.749 states/eV per atom. As for the volume: 17.4 A^3/atom. Its crystal system is tetragonal.